The following is a GGA+U calculation of a geometry-optimized AgBiMo2O8 structure, from the Alexandria database.

Computed properties:
- theoretical density (Mg/m³) = 5.5
- calculated volume (Å³ per atom) = 16.01
- DFT total energy (eV per atom) = -6.364

Cell and atoms, written as POSCAR:
```
AgBiMo2O8
1.0
-3.784 3.784 3.354
3.784 -3.784 3.354
3.784 3.784 -3.354
Ag Bi Mo O
1 1 2 8
Cartesian
0.000 0.000 0.000
3.784 0.000 1.677
0.000 0.000 3.354
0.000 3.784 1.677
2.304 3.784 -1.020
1.480 0.000 2.334
0.000 2.396 0.521
3.784 2.304 1.020
0.000 5.173 0.521
0.000 1.480 4.374
-1.388 3.784 2.833
1.388 3.784 2.833
```